w:
Entry from Alexandria: a relaxed LiMgTl6 crystal (PBE).

Lattice parameters (Å, degrees): 6.0052 6.0056 6.3182 91.18 92.93 99.69
Atoms (fractional coordinates):
Li1 0.0000 0.0000 0.0000
Mg1 0.5000 0.5000 0.5000
Tl1 0.0298 0.5475 0.7540
Tl2 0.2426 0.9956 0.4216
Tl3 0.4593 0.2421 0.9354
Tl4 0.5407 0.7579 0.0646
Tl5 0.7574 0.0044 0.5784
Tl6 0.9702 0.4525 0.2460

Values from the calculation:
SG: P-1

x:
Entry from Alexandria: a relaxed LiMgTl6 crystal (PBE).

Lattice parameters (Å, degrees): 6.5999 6.5999 5.0481 90.00 90.00 90.52
Atoms (fractional coordinates):
Li1 0.0000 0.0000 0.0000
Mg1 0.5000 0.5000 0.0000
Tl1 0.0000 0.5000 0.0000
Tl2 0.2009 0.7991 0.5000
Tl3 0.2942 0.2942 0.5000
Tl4 0.5000 0.0000 0.0000
Tl5 0.7058 0.7058 0.5000
Tl6 0.7991 0.2009 0.5000

Values from the calculation:
SG: Cmmm

Stability check: which of them is least stable? w.

w:
Entry from Alexandria: a relaxed Li5MgTl2 crystal (PBE).

Lattice parameters (Å, degrees): 7.4735 7.4735 7.4735 141.62 141.62 55.40
Atoms (fractional coordinates):
Li1 0.0000 0.0000 0.0000
Li2 0.1276 0.6276 0.5000
Li3 0.3724 0.8724 0.5000
Li4 0.6276 0.1276 0.5000
Li5 0.8724 0.3724 0.5000
Mg1 0.5000 0.5000 0.0000
Tl1 0.2500 0.2500 0.0000
Tl2 0.7500 0.7500 0.0000

Values from the calculation:
SG: I4/mmm

x:
Entry from Alexandria: a relaxed Li5MgTl2 crystal (PBE).

Lattice parameters (Å, degrees): 5.9112 5.9112 5.9112 113.61 113.61 101.47
Atoms (fractional coordinates):
Li1 0.0000 0.0000 0.0000
Li2 0.4991 0.4991 0.5012
Li3 0.4991 0.9979 0.0000
Li4 0.9979 0.4991 0.0000
Li5 0.9979 0.9979 0.4988
Mg1 0.4976 0.4976 0.0000
Tl1 0.4985 0.9985 0.5000
Tl2 0.9985 0.4985 0.5000

Values from the calculation:
SG: I4mm

Stability check: which of them is least stable? w.